# 1
# ZnCdGa2

ZnCdGa2 after structural relaxation (PBEsol, Alexandria).

a = 6.647 Å, b = 6.647 Å, c = 6.647 Å
α = 90.00°, β = 90.00°, γ = 90.00°
Fractional coordinates of all 16 atoms:
Zn: 0.000 0.000 0.000
Zn: 0.000 0.500 0.500
Zn: 0.500 0.000 0.500
Zn: 0.500 0.500 0.000
Cd: 0.000 0.000 0.500
Cd: 0.000 0.500 0.000
Cd: 0.500 0.000 0.000
Cd: 0.500 0.500 0.500
Ga: 0.250 0.250 0.250
Ga: 0.250 0.250 0.750
Ga: 0.250 0.750 0.250
Ga: 0.250 0.750 0.750
Ga: 0.750 0.250 0.250
Ga: 0.750 0.250 0.750
Ga: 0.750 0.750 0.250
Ga: 0.750 0.750 0.750

Output
distance to the lowest polymorph of the same formula: 26 meV per atom
ρ: 7.18 g/cm3
crystal system: cubic
calculated formation energy: 125 meV per atom
final energy: -2.240 eV/atom

# 2
# ZrCdGa3

ZrCdGa3 after structural relaxation (PBEsol, Alexandria).

a = 4.867 Å, b = 4.867 Å, c = 4.867 Å
α = 90.00°, β = 90.00°, γ = 90.00°
Fractional coordinates of all 5 atoms:
Zr: 0.000 0.000 0.000
Cd: 0.500 0.500 0.500
Ga: 0.000 0.500 0.500
Ga: 0.500 0.000 0.500
Ga: 0.500 0.500 0.000

Output
ρ: 5.95 g/cm3
crystal system: cubic
calculated formation energy: 741 meV per atom
final energy: -3.320 eV/atom

# 3
# Gd2CdHg

Gd2CdHg after structural relaxation (PBEsol, Alexandria).

a = 7.388 Å, b = 7.388 Å, c = 7.388 Å
α = 90.00°, β = 90.00°, γ = 90.00°
Fractional coordinates of all 16 atoms:
Gd: 0.250 0.250 0.250
Gd: 0.250 0.250 0.750
Gd: 0.250 0.750 0.250
Gd: 0.250 0.750 0.750
Gd: 0.750 0.250 0.250
Gd: 0.750 0.250 0.750
Gd: 0.750 0.750 0.250
Gd: 0.750 0.750 0.750
Cd: 0.000 0.000 0.000
Cd: 0.000 0.500 0.500
Cd: 0.500 0.000 0.500
Cd: 0.500 0.500 0.000
Hg: 0.000 0.000 0.500
Hg: 0.000 0.500 0.000
Hg: 0.500 0.000 0.000
Hg: 0.500 0.500 0.500

Output
ρ: 10.34 g/cm3
crystal system: cubic
calculated formation energy: -468 meV per atom
final energy: -8.134 eV/atom